Entry 1:
An optimized crystal structure of CaHg2Mo. Source: Alexandria via LeMat-Bulk, functional PBE.

The energy of formation from the pure elements is 0.3865 eV per atom. The value obtained for the total magnetization is 2.08 μB/cell. The value obtained for the energy above the most stable polymorph in this dataset is 120.8 meV/atom.

It has space group C2/m (No. 12), with a = 9.626 Å, b = 3.132 Å, c = 6.114 Å, α = 90.00°, β = 98.59° and γ = 90.00°. The asymmetric unit holds Ca at (0.000, 0.000, 0.000), Hg at (0.243, 0.000, 0.715) and Mo at (0.000, 0.500, 0.500).

***

Entry 2:
An optimized crystal structure of Ca2HgMo. Source: Alexandria via LeMat-Bulk, functional PBE.

The energy of formation from the pure elements is 0.5678 eV per atom. The value obtained for the total magnetization is 0.00 μB/cell.

It has space group C2/m (No. 12), with a = 10.448 Å, b = 3.278 Å, c = 5.745 Å, α = 90.00°, β = 102.48° and γ = 90.00°. The asymmetric unit holds Ca at (0.249, 0.000, 0.241), Hg at (0.000, 0.000, 0.500) and Mo at (0.000, 0.500, 0.000).

***

Entry 3:
An optimized crystal structure of CaHg2Mo. Source: Alexandria via LeMat-Bulk, functional PBE.

The energy of formation from the pure elements is 0.3680 eV per atom. The value obtained for the total magnetization is 0.00 μB/cell. The value obtained for the energy above the most stable polymorph in this dataset is 102.2 meV/atom.

It has space group Cmm2 (No. 35), with a = 4.260 Å, b = 4.275 Å, c = 9.559 Å, α = 90.00°, β = 90.00° and γ = 90.00°. The asymmetric unit holds Ca at (0.000, 0.000, 0.000), Hg at (0.000, 0.000, 0.527), Hg at (0.000, 0.500, 0.261) and Mo at (0.000, 0.500, 0.746).

***

> Which of these has the highest energy of formation from the pure elements?

Ca2HgMo

***

> Which of these has the lowest energy of formation from the pure elements?

number 3